DFT (GGA+U) results for MgCoCuF6 after structural relaxation.

As for the mass density: 4.18 Mg/m³. As for the total energy: -4.781 eV/atom. The value obtained for the total magnetization is 8.0 μB per cell.

Cell: 5.1873 5.1873 8.8851 Å, 90.00 90.00 120.00°
Space group P-31c (No. 163)
Inequivalent atoms, fractional coordinates:
Mg (0.3333, 0.6667, 0.2500)
Co (0.3333, 0.6667, 0.7500)
Cu (0.0000, 0.0000, 0.0000)
F (0.0049, 0.3398, 0.1296)